(1)
DFT (PBE) results for Rb4Dy3CrSe8 after structural relaxation.

Cell lengths 8.3152, 8.3152, 23.9142 Å; angles 90.00, 90.00, 120.00 degrees
Space group R-3m (No. 166, hexagonal axes)
Asymmetric unit:
Rb: 0.0000 0.0000 0.0000 (multiplicity 3)
Rb: 0.0000 0.5000 0.0000 (multiplicity 9)
Dy: 0.0000 0.5000 0.5000 (multiplicity 9)
Cr: 0.0000 0.0000 0.5000 (multiplicity 3)
Se: 0.0000 0.0000 0.2327 (multiplicity 6)
Se: 0.0214 0.5107 0.2289 (multiplicity 18)

(2)
DFT (PBE) results for Fe3SbAs after structural relaxation.

Cell lengths 4.435, 4.435, 4.435 Å; angles 90.00, 90.00, 90.00 degrees
Space group Pm-3m (No. 221)
Asymmetric unit:
Fe: 0.000 0.000 0.500 (multiplicity 3)
Sb: 0.500 0.500 0.500 (multiplicity 1)
As: 0.000 0.000 0.000 (multiplicity 1)

**ΔE to the lowest computed polymorph**: 0.0 meV/atom

(3)
DFT (PBE) results for BaGd2Tc after structural relaxation.

Cell lengths 3.542, 3.542, 10.109 Å; angles 90.00, 90.00, 90.00 degrees
Space group P4/mmm (No. 123)
Asymmetric unit:
Ba: 0.000 0.000 0.000 (multiplicity 1)
Gd: 0.500 0.500 0.339 (multiplicity 2)
Tc: 0.000 0.000 0.500 (multiplicity 1)

**ΔE to the lowest computed polymorph**: 0.0 meV/atom
**Energy relative to the elements**: 0.10 eV/atom

(4)
DFT (PBE) results for Co2AgRh after structural relaxation.

Cell lengths 2.698, 2.698, 7.537 Å; angles 90.00, 90.00, 90.00 degrees
Space group P4/mmm (No. 123)
Asymmetric unit:
Co: 0.000 0.000 0.233 (multiplicity 2)
Ag: 0.500 0.500 0.500 (multiplicity 1)
Rh: 0.500 0.500 0.000 (multiplicity 1)

**Energy relative to the elements**: 0.26 eV/atom

(5)
DFT (PBE) results for TlOsI2N after structural relaxation.

Cell lengths 5.791, 5.791, 3.789 Å; angles 90.00, 90.00, 90.00 degrees
Space group P4/mmm (No. 123)
Asymmetric unit:
Tl: 0.000 0.000 0.000 (multiplicity 1)
Os: 0.500 0.500 0.500 (multiplicity 1)
I: 0.000 0.500 0.500 (multiplicity 2)
N: 0.500 0.500 0.000 (multiplicity 1)

**ΔE to the lowest computed polymorph**: 0.0 meV/atom

(6)
DFT (PBE) results for Cd4FeTe after structural relaxation.

Cell lengths 8.176, 8.176, 8.176 Å; angles 90.00, 90.00, 90.00 degrees
Space group F-43m (No. 216)
Asymmetric unit:
Cd: 0.124 0.124 0.124 (multiplicity 16)
Fe: 0.250 0.250 0.750 (multiplicity 4)
Te: 0.000 0.000 0.500 (multiplicity 4)

Asked for final energy across the records above, the calculation gives -0.180 -0.229 -0.368 -0.215 -0.176 -0.076 Ha/atom in order.